Record 1
First-principles (GGA-PBE) data for a geometry-optimized Li3GeH2Pd6 structure, as listed in the Alexandria database.

```
Li3GeH2Pd6
1.0
5.484 0.000 0.000
-2.742 4.749 0.000
0.000 0.000 7.756
Li Ge H Pd
3 1 2 6
Direct
0.333 0.667 0.611 Li
0.667 0.333 0.389 Li
0.000 0.000 0.000 Li
0.000 0.000 0.500 Ge
0.667 0.333 0.859 H
0.333 0.667 0.141 H
0.662 0.831 0.266 Pd
0.169 0.338 0.266 Pd
0.169 0.831 0.266 Pd
0.831 0.662 0.734 Pd
0.338 0.169 0.734 Pd
0.831 0.169 0.734 Pd
```

Output
The energy is -0.15567 hartree per atom. The total magnetization is 0.0 μB per formula unit. For the volume, the calculation gives 16.83 Å³ per atom. The theoretical density comes out at 6.0 g/cm³. The space group is No. 164.



Record 2
First-principles (GGA-PBE) data for a geometry-optimized Li2PrGeH structure, as listed in the Alexandria database.

```
Li2PrGeH
1.0
-1.822 -2.494 -3.056
5.816 -0.802 0.276
-0.909 -5.003 4.625
Li Pr Ge H
4 2 2 2
Direct
0.158 0.317 0.938 Li
0.842 0.683 0.062 Li
0.158 0.317 0.562 Li
0.842 0.683 0.438 Li
0.426 0.851 0.750 Pr
0.574 0.149 0.250 Pr
0.707 0.414 0.750 Ge
0.293 0.586 0.250 Ge
0.000 0.000 0.000 H
0.000 0.000 0.500 H
```

Output
The energy is -0.13906 hartree per atom. The total magnetization is 0.0 μB per formula unit. For the volume, the calculation gives 16.31 Å³ per atom. The theoretical density comes out at 4.7 g/cm³. The space group is No. 63.



Record 3
First-principles (GGA-PBE) data for a geometry-optimized Li2GeHPt structure, as listed in the Alexandria database.

```
Li2GeHPt
1.0
3.781 0.000 0.000
0.000 3.781 0.000
0.000 0.000 4.111
H Ge Pt Li
1 1 1 2
Direct
0.000 0.000 0.000 H
0.000 0.000 0.500 Ge
0.500 0.500 0.500 Pt
0.000 0.500 0.000 Li
0.500 0.000 0.000 Li
```

Output
The energy above the most stable polymorph in this dataset comes out at 61 meV per atom. The total magnetization is 0.0 μB per formula unit. For the volume, the calculation gives 11.75 Å³ per atom. The theoretical density comes out at 8.0 g/cm³. The space group is No. 123.



Record 4
First-principles (GGA-PBE) data for a geometry-optimized Li2GeHPt structure, as listed in the Alexandria database.

```
Li2GeHPt
1.0
-0.434 -1.899 3.458
3.905 -0.700 0.105
0.526 3.207 1.826
H Ge Pt Li
1 1 1 2
Direct
0.000 0.000 0.000 H
0.500 0.500 0.500 Ge
0.000 0.000 0.500 Pt
0.000 0.500 0.000 Li
0.500 0.000 0.000 Li
```

Output
The energy above the most stable polymorph in this dataset comes out at 0 meV per atom. The total magnetization is 0.0 μB per formula unit. For the volume, the calculation gives 11.74 Å³ per atom. The theoretical density comes out at 8.0 g/cm³. The space group is No. 123.